No. 1
DFT (PBE) results for a relaxed NiOs2 crystal. Values from VASP.

Computed properties:
- Formation enthalpy at 0 K: 0.1529 eV/atom
- Total magnetization: 0.0 μB/f.u.
- Energy: -9.261 eV/atom
- Volume: 13.4 A^3/atom

```
&SYSTEM
  ibrav = 0, nat = 6, ntyp = 2
/
ATOMIC_SPECIES
Ni 58.69 Ni.upf
Os 190.23 Os.upf
CELL_PARAMETERS angstrom
-0.150 0.892 -4.947
1.046 -1.553 -4.667
-5.300 -2.800 -1.816
ATOMIC_POSITIONS angstrom
Ni -0.003 -0.002 -0.003
Ni -1.478 -1.158 -3.802
Os -2.954 -2.317 -7.614
Os -0.894 -1.169 -6.393
Os -2.379 -2.331 -10.196
Os -4.769 -2.834 -4.378
```

No. 2
DFT (PBE) results for a relaxed ZrNiSbMo2 crystal. Values from VASP.

Computed properties:
- Total magnetization: 1.5 μB/f.u.
- Energy: -6.028 eV/atom
- Volume: 24.8 A^3/atom

```
&SYSTEM
  ibrav = 0, nat = 5, ntyp = 4
/
ATOMIC_SPECIES
Sb 121.76 Sb.upf
Mo 95.94 Mo.upf
Zr 91.22 Zr.upf
Ni 58.69 Ni.upf
CELL_PARAMETERS angstrom
4.811 0.000 0.000
0.000 5.357 0.000
0.000 0.000 4.811
ATOMIC_POSITIONS angstrom
Sb 0.000 2.679 0.000
Mo 0.000 0.000 2.406
Mo 2.406 0.000 0.000
Zr 0.000 0.000 0.000
Ni 2.406 2.679 2.406
```

No. 3
DFT (PBE) results for a relaxed K2TlAu2 crystal. Values from VASP.

Computed properties:
- Formation enthalpy at 0 K: -0.2413 eV/atom
- Total magnetization: 0.0 μB/f.u.
- Energy: -2.465 eV/atom
- Volume: 31.7 A^3/atom

```
&SYSTEM
  ibrav = 0, nat = 5, ntyp = 3
/
ATOMIC_SPECIES
K 39.10 K.upf
Tl 204.38 Tl.upf
Au 196.97 Au.upf
CELL_PARAMETERS angstrom
4.271 -0.001 1.809
1.411 5.794 2.570
-0.243 0.491 6.471
ATOMIC_POSITIONS angstrom
K 1.379 1.538 5.628
K 4.061 4.747 5.222
Tl 2.841 2.897 2.190
Au 4.499 1.364 4.221
Au 0.940 4.920 6.629
```